(1)
DFT (GGA-PBEsol) results for an optimized crystal structure of YSnN2Cl.

Cell and atoms, written as POSCAR:
```
YSnN2Cl
1.0
4.072 0.000 0.000
0.000 4.072 0.000
0.000 0.000 6.028
Y Sn N Cl
1 1 2 1
Direct
0.000 0.000 0.000 Y
0.000 0.000 0.500 Sn
0.000 0.500 0.500 N
0.500 0.000 0.500 N
0.500 0.500 0.000 Cl
```

Calculated values
- symmetry = No. 123
- total moment (Bohr magnetons per cell) = 1.4
- formation energy without anion corrections (eV per atom) = 0.5652

---

(2)
DFT (GGA-PBEsol) results for an optimized crystal structure of SrTeN2Cl.

Cell and atoms, written as POSCAR:
```
SrTeN2Cl
1.0
4.735 0.000 0.000
0.000 4.735 0.000
0.000 0.000 6.710
Sr Te N Cl
1 1 2 1
Direct
0.000 0.000 0.000 Sr
0.000 0.000 0.500 Te
0.000 0.500 0.000 N
0.500 0.000 0.000 N
0.500 0.500 0.500 Cl
```

Calculated values
- symmetry = No. 123
- total moment (Bohr magnetons per cell) = 4.7
- formation energy without anion corrections (eV per atom) = 1.3719

---

(3)
DFT (GGA-PBEsol) results for an optimized crystal structure of TaTe2NCl.

Cell and atoms, written as POSCAR:
```
TaTe2NCl
1.0
5.351 0.000 0.000
0.000 5.351 0.000
0.000 0.000 3.336
Ta Te N Cl
1 2 1 1
Direct
0.000 0.000 0.000 Ta
0.000 0.500 0.500 Te
0.500 0.000 0.500 Te
0.500 0.500 0.000 N
0.500 0.500 0.500 Cl
```

Calculated values
- symmetry = No. 123
- total moment (Bohr magnetons per cell) = 0.0
- formation energy without anion corrections (eV per atom) = 1.4698

---

(4)
DFT (GGA-PBEsol) results for an optimized crystal structure of TcN3Cl.

Cell and atoms, written as POSCAR:
```
TcN3Cl
1.0
3.890 0.000 0.000
0.000 3.890 0.000
0.000 0.000 3.890
Tc N Cl
1 3 1
Direct
0.000 0.000 0.000 Tc
0.000 0.000 0.500 N
0.000 0.500 0.000 N
0.500 0.000 0.000 N
0.500 0.500 0.500 Cl
```

Calculated values
- symmetry = No. 221
- total moment (Bohr magnetons per cell) = 2.1
- formation energy without anion corrections (eV per atom) = 1.1064

---

(5)
DFT (GGA-PBEsol) results for an optimized crystal structure of Tc2NCl.

Cell and atoms, written as POSCAR:
```
Tc2NCl
1.0
0.000 2.818 2.818
2.818 0.000 2.818
2.818 2.818 0.000
Tc N Cl
2 1 1
Direct
0.250 0.250 0.250 Tc
0.750 0.750 0.750 Tc
0.000 0.000 0.000 N
0.500 0.500 0.500 Cl
```

Calculated values
- symmetry = No. 225
- total moment (Bohr magnetons per cell) = 0.0
- formation energy without anion corrections (eV per atom) = 0.9234

---

(6)
DFT (GGA-PBEsol) results for an optimized crystal structure of TeN3Cl.

Cell and atoms, written as POSCAR:
```
TeN3Cl
1.0
3.802 0.000 0.000
0.000 3.802 0.000
0.000 0.000 3.802
Te N Cl
1 3 1
Direct
0.000 0.000 0.000 Te
0.000 0.500 0.500 N
0.500 0.000 0.500 N
0.500 0.500 0.000 N
0.500 0.500 0.500 Cl
```

Calculated values
- symmetry = No. 221
- total moment (Bohr magnetons per cell) = 0.0
- formation energy without anion corrections (eV per atom) = 2.2493

---

(7)
DFT (GGA-PBEsol) results for an optimized crystal structure of Te2N2Cl.

Cell and atoms, written as POSCAR:
```
Te2N2Cl
1.0
4.620 0.000 0.000
0.000 4.620 0.000
0.000 0.000 3.905
Te N Cl
2 2 1
Direct
0.000 0.500 0.000 Te
0.500 0.000 0.000 Te
0.000 0.000 0.000 N
0.000 0.000 0.500 N
0.500 0.500 0.500 Cl
```

Calculated values
- symmetry = No. 123
- total moment (Bohr magnetons per cell) = 0.0
- formation energy without anion corrections (eV per atom) = 1.4677

---

(8)
DFT (GGA-PBEsol) results for an optimized crystal structure of TeNCl2.

Cell and atoms, written as POSCAR:
```
TeNCl2
1.0
1.683 0.972 8.527
-1.683 0.972 8.527
0.000 -1.943 8.527
Te N Cl
1 1 2
Direct
0.000 0.000 0.000 Te
0.500 0.500 0.500 N
0.425 0.425 0.425 Cl
0.575 0.575 0.575 Cl
```

Calculated values
- symmetry = No. 166
- total moment (Bohr magnetons per cell) = 1.5
- formation energy without anion corrections (eV per atom) = 1.1362

---

(9)
DFT (GGA-PBEsol) results for an optimized crystal structure of TeWN2Cl.

Cell and atoms, written as POSCAR:
```
TeWN2Cl
1.0
3.923 0.000 0.000
0.000 3.923 0.000
0.000 0.000 4.927
Te W N Cl
1 1 2 1
Direct
0.000 0.000 0.000 Te
0.500 0.500 0.000 W
0.000 0.500 0.500 N
0.500 0.000 0.500 N
0.000 0.000 0.500 Cl
```

Calculated values
- symmetry = No. 123
- total moment (Bohr magnetons per cell) = 1.4
- formation energy without anion corrections (eV per atom) = 2.5390

---

(10)
DFT (GGA-PBEsol) results for an optimized crystal structure of TiNCl2.

Cell and atoms, written as POSCAR:
```
TiNCl2
1.0
1.616 0.933 9.314
-1.616 0.933 9.314
0.000 -1.866 9.314
Ti N Cl
1 1 2
Direct
0.000 0.000 0.000 Ti
0.500 0.500 0.500 N
0.390 0.390 0.390 Cl
0.610 0.610 0.610 Cl
```

Calculated values
- symmetry = No. 166
- total moment (Bohr magnetons per cell) = 2.9
- formation energy without anion corrections (eV per atom) = 0.2221

---

(11)
DFT (GGA-PBEsol) results for an optimized crystal structure of TiNCl3.

Cell and atoms, written as POSCAR:
```
TiNCl3
1.0
4.328 0.000 0.000
0.000 4.328 0.000
0.000 0.000 4.328
Ti N Cl
1 1 3
Direct
0.000 0.000 0.000 Ti
0.500 0.500 0.500 N
0.000 0.500 0.500 Cl
0.500 0.000 0.500 Cl
0.500 0.500 0.000 Cl
```

Calculated values
- symmetry = No. 221
- total moment (Bohr magnetons per cell) = 2.4
- formation energy without anion corrections (eV per atom) = 0.6331

---

(12)
DFT (GGA-PBEsol) results for an optimized crystal structure of TlNCl3.

Cell and atoms, written as POSCAR:
```
TlNCl3
1.0
4.531 0.000 0.000
0.000 4.531 0.000
0.000 0.000 4.531
Tl N Cl
1 1 3
Direct
0.000 0.000 0.000 Tl
0.500 0.500 0.500 N
0.000 0.500 0.500 Cl
0.500 0.000 0.500 Cl
0.500 0.500 0.000 Cl
```

Calculated values
- symmetry = No. 221
- total moment (Bohr magnetons per cell) = 0.0
- formation energy without anion corrections (eV per atom) = 0.3699

---

(13)
DFT (GGA-PBEsol) results for an optimized crystal structure of WNCl3.

Cell and atoms, written as POSCAR:
```
WNCl3
1.0
8.177 0.000 0.000
-2.908 7.751 0.000
-1.280 -3.509 8.280
W N Cl
4 4 12
Direct
0.049 0.004 0.224 W
0.353 0.118 0.617 W
0.647 0.882 0.383 W
0.951 0.996 0.776 W
0.166 0.053 0.692 N
0.216 0.043 0.389 N
0.784 0.957 0.611 N
0.834 0.947 0.308 N
0.056 0.313 0.905 Cl
0.073 0.304 0.301 Cl
0.222 0.053 0.041 Cl
0.362 0.818 0.526 Cl
0.395 0.416 0.656 Cl
0.415 0.784 0.158 Cl
0.585 0.216 0.842 Cl
0.605 0.584 0.344 Cl
0.638 0.182 0.474 Cl
0.778 0.947 0.959 Cl
0.927 0.696 0.699 Cl
0.944 0.687 0.095 Cl
```

Calculated values
- symmetry = No. 2
- total moment (Bohr magnetons per cell) = 0.0
- formation energy without anion corrections (eV per atom) = -0.7591

---

(14)
DFT (GGA-PBEsol) results for an optimized crystal structure of Y2NCl3.

Cell and atoms, written as POSCAR:
```
Y2NCl3
1.0
7.802 -1.895 0.000
7.802 1.895 0.000
-5.307 0.000 9.025
Y N Cl
4 2 6
Direct
0.088 0.088 0.454 Y
0.362 0.362 0.207 Y
0.638 0.638 0.793 Y
0.912 0.912 0.546 Y
0.077 0.077 0.657 N
0.923 0.923 0.343 N
0.162 0.162 0.011 Cl
0.273 0.273 0.384 Cl
0.450 0.450 0.753 Cl
0.550 0.550 0.247 Cl
0.727 0.727 0.616 Cl
0.838 0.838 0.989 Cl
```

Calculated values
- symmetry = No. 12
- total moment (Bohr magnetons per cell) = 0.0
- formation energy without anion corrections (eV per atom) = -2.1960

---

(15)
DFT (GGA-PBEsol) results for an optimized crystal structure of YN3Cl.

Cell and atoms, written as POSCAR:
```
YN3Cl
1.0
4.588 0.000 0.000
0.000 4.588 0.000
0.000 0.000 4.588
Y N Cl
1 3 1
Direct
0.000 0.000 0.000 Y
0.000 0.000 0.500 N
0.000 0.500 0.000 N
0.500 0.000 0.000 N
0.500 0.500 0.500 Cl
```

Calculated values
- symmetry = No. 221
- total moment (Bohr magnetons per cell) = 7.0
- formation energy without anion corrections (eV per atom) = 1.5067

---

(16)
DFT (GGA-PBEsol) results for an optimized crystal structure of Zn2NCl.

Cell and atoms, written as POSCAR:
```
Zn2NCl
1.0
-2.583 2.583 4.839
2.583 -2.583 4.839
2.583 2.583 -4.839
Zn N Cl
4 2 2
Direct
0.008 0.625 0.883 Zn
0.375 0.258 0.383 Zn
0.742 0.125 0.117 Zn
0.875 0.992 0.617 Zn
0.000 0.000 0.000 N
0.750 0.250 0.500 N
0.250 0.750 0.500 Cl
0.500 0.500 0.000 Cl
```

Calculated values
- symmetry = No. 122
- total moment (Bohr magnetons per cell) = 0.0
- formation energy without anion corrections (eV per atom) = -0.4890

---

(17)
DFT (GGA-PBEsol) results for an optimized crystal structure of Zn2NCl.

Cell and atoms, written as POSCAR:
```
Zn2NCl
1.0
6.108 0.000 0.000
0.000 7.257 0.000
0.000 0.000 5.889
Zn N Cl
8 4 4
Direct
0.031 0.053 0.000 Zn
0.118 0.673 0.145 Zn
0.382 0.173 0.645 Zn
0.469 0.553 0.500 Zn
0.531 0.447 0.000 Zn
0.618 0.827 0.145 Zn
0.882 0.327 0.645 Zn
0.969 0.947 0.500 Zn
0.080 0.127 0.699 N
0.420 0.627 0.199 N
0.580 0.373 0.699 N
0.920 0.873 0.199 N
0.085 0.622 0.702 Cl
0.415 0.122 0.202 Cl
0.585 0.878 0.702 Cl
0.915 0.378 0.202 Cl
```

Calculated values
- symmetry = No. 33
- total moment (Bohr magnetons per cell) = 0.0
- formation energy without anion corrections (eV per atom) = -0.4995

---

(18)
DFT (GGA-PBEsol) results for an optimized crystal structure of ZrNCl.

Cell and atoms, written as POSCAR:
```
ZrNCl
1.0
1.796 1.037 9.578
-1.796 1.037 9.578
0.000 -2.074 9.578
Zr N Cl
2 2 2
Direct
0.121 0.121 0.121 Zr
0.879 0.879 0.879 Zr
0.196 0.196 0.196 N
0.804 0.804 0.804 N
0.393 0.393 0.393 Cl
0.607 0.607 0.607 Cl
```

Calculated values
- symmetry = No. 166
- total moment (Bohr magnetons per cell) = 0.0
- formation energy without anion corrections (eV per atom) = -1.9351

---

(19)
DFT (GGA-PBEsol) results for an optimized crystal structure of ZrNCl.

Cell and atoms, written as POSCAR:
```
ZrNCl
1.0
3.408 0.000 0.000
-1.704 2.951 0.000
0.000 0.000 11.753
Zr N Cl
2 2 2
Direct
0.000 0.000 0.194 Zr
0.000 0.000 0.806 Zr
0.333 0.667 0.141 N
0.667 0.333 0.859 N
0.333 0.667 0.649 Cl
0.667 0.333 0.351 Cl
```

Calculated values
- symmetry = No. 164
- total moment (Bohr magnetons per cell) = 0.0
- formation energy without anion corrections (eV per atom) = -1.6634

---

(20)
DFT (GGA-PBEsol) results for an optimized crystal structure of NaCl3.

Cell and atoms, written as POSCAR:
```
NaCl3
1.0
2.178 1.257 7.081
-2.178 1.257 7.081
0.000 -2.515 7.081
Na Cl
1 3
Direct
0.000 0.000 0.000 Na
0.393 0.393 0.393 Cl
0.500 0.500 0.500 Cl
0.607 0.607 0.607 Cl
```

Calculated values
- symmetry = No. 166
- total moment (Bohr magnetons per cell) = 0.0
- formation energy without anion corrections (eV per atom) = -0.8728